Mn2CrNi | PBE | relaxed

Unit cell a=4.224 b=4.224 c=4.224 alpha=124.96 beta=124.99 gamma=81.58
Site moments in Bohr magnetons follow the coordinates.
Positions (direct):
Ni  0.750  0.250  0.500  0.63
Cr  0.250  0.750  0.500  -2.16
Mn  0.000  0.000  0.000  2.85
Mn  0.500  0.500  0.000  2.85

* formation energy from the elements: 10 meV per atom
* theoretical density: 7.52 g/cm3



Li2TlGe | PBE | relaxed

Unit cell a=3.204 b=3.204 c=9.156 alpha=79.92 beta=79.92 gamma=60.00
Positions (direct):
Li  0.075  0.075  0.774
Li  0.258  0.258  0.226
Tl  0.500  0.500  0.499
Ge  0.666  0.666  0.001

* formation energy from the elements: -108 meV per atom
* theoretical density: 6.06 g/cm3



CaLa3Se | PBE | relaxed

Unit cell a=5.698 b=5.698 c=5.698 alpha=90.00 beta=90.00 gamma=90.00
Positions (direct):
La  0.000  0.000  0.500
La  0.500  0.000  0.000
La  0.000  0.500  0.000
Ca  0.000  0.000  0.000
Se  0.500  0.500  0.500

* formation energy (no corrections): 2.86 eV/f.u.
* theoretical density: 4.81 g/cm3



Na2Si2Pb | PBE | relaxed

Unit cell a=4.516 b=4.516 c=7.009 alpha=71.21 beta=71.21 gamma=90.00
Positions (direct):
Si  0.588  0.588  0.824
Si  0.412  0.412  0.176
Na  0.250  0.750  0.500
Na  0.750  0.250  0.500
Pb  0.000  0.000  0.000

* formation energy (no corrections): 0.85 eV/f.u.
* theoretical density: 4.04 g/cm3



LiPaInRu | PBE | relaxed

Unit cell a=4.748 b=4.748 c=4.748 alpha=60.00 beta=60.00 gamma=60.00
Positions (direct):
Pa  0.500  0.500  0.500
Li  0.250  0.250  0.250
Ru  0.750  0.750  0.750
In  0.000  0.000  0.000

* formation energy from the elements: -169 meV per atom
* theoretical density: 9.96 g/cm3



NaTb2Pt | PBE | relaxed

Unit cell a=4.104 b=4.104 c=10.648 alpha=78.89 beta=78.89 gamma=60.00
Positions (direct):
Tb  0.120  0.120  0.641
Tb  0.880  0.880  0.359
Pt  0.500  0.500  0.500
Na  0.000  0.000  0.000

* formation energy from the elements: -451 meV per atom
* theoretical density: 5.88 g/cm3



La2CuSe2O | PBE | relaxed

Unit cell a=4.021 b=4.021 c=14.241 alpha=90.00 beta=90.00 gamma=90.00
Site moments in Bohr magnetons follow the coordinates.
Positions (direct):
La  0.500  0.500  0.351  -0.08
La  0.500  0.500  0.649  -0.08
O  0.500  0.500  0.500  0.00
Cu  0.500  0.500  0.000  0.00
Se  0.500  0.500  0.155  0.01
Se  0.500  0.500  0.845  0.01

* formation energy (no corrections): -3.90 eV/f.u.
* theoretical density: 3.72 g/cm3



SrHgSb2 | PBE | relaxed

Unit cell a=8.619 b=8.619 c=6.949 alpha=51.67 beta=51.67 gamma=90.00
Positions (direct):
Sr  0.500  0.500  0.000
Sr  0.250  0.750  0.500
Sb  0.081  0.625  0.250
Sb  0.375  0.331  0.750
Sb  0.669  0.125  0.250
Sb  0.875  0.919  0.750
Hg  0.750  0.250  0.500
Hg  0.000  0.000  0.000

* formation energy (no corrections): -1.54 eV/f.u.
* theoretical density: 7.12 g/cm3



Er2Th2Ag | PBE | relaxed

Unit cell a=3.573 b=3.573 c=11.426 alpha=98.99 beta=98.99 gamma=90.00
Positions (direct):
Th  0.805  0.805  0.610
Th  0.195  0.195  0.390
Er  0.417  0.417  0.834
Er  0.583  0.583  0.166
Ag  0.000  0.000  0.000

* formation energy from the elements: -108 meV per atom
* theoretical density: 10.58 g/cm3



NaSmSnRh | PBE | relaxed

Unit cell a=4.920 b=4.920 c=4.920 alpha=60.00 beta=60.00 gamma=60.00
Positions (direct):
Sn  0.500  0.500  0.500
Sm  0.000  0.000  0.000
Na  0.750  0.750  0.750
Rh  0.250  0.250  0.250

* formation energy from the elements: -434 meV per atom
* theoretical density: 7.79 g/cm3



Cs2MoBr7 | PBE | relaxed

Unit cell a=8.336 b=8.336 c=8.360 alpha=60.09 beta=60.09 gamma=90.00
Site moments in Bohr magnetons follow the coordinates.
Positions (direct):
Br  0.214  0.214  0.571  -0.01
Br  0.786  0.786  0.429  -0.01
Br  0.216  0.216  0.000  -0.02
Br  0.500  0.500  0.000  -0.29
Br  0.216  0.784  0.000  -0.02
Br  0.784  0.216  0.000  -0.02
Br  0.784  0.784  0.000  -0.02
Mo  0.000  0.000  0.000  1.30
Cs  0.250  0.750  0.500  0.00
Cs  0.750  0.250  0.500  0.00

* formation energy (no corrections): -9.11 eV/f.u.
* theoretical density: 3.71 g/cm3



YPuInPd | PBE | relaxed

Unit cell a=5.189 b=5.189 c=5.189 alpha=60.00 beta=60.00 gamma=60.00
Site moments in Bohr magnetons follow the coordinates.
Positions (direct):
Pu  0.000  0.000  0.000  5.31
Y  0.500  0.500  0.500  0.02
Pd  0.250  0.250  0.250  -0.03
In  0.750  0.750  0.750  -0.02

* formation energy from the elements: -346 meV per atom
* theoretical density: 9.31 g/cm3



Y3InO | PBE | relaxed

Unit cell a=17.176 b=7.165 c=7.165 alpha=139.38 beta=147.93 gamma=32.07
Positions (direct):
Y  0.515  0.324  0.676
Y  0.796  0.792  0.208
Y  0.485  0.676  0.324
Y  0.828  0.462  0.538
Y  0.172  0.538  0.462
Y  0.204  0.208  0.792
O  0.490  0.181  0.819
O  0.510  0.819  0.181
In  0.135  0.931  0.069
In  0.865  0.069  0.931

* formation energy (no corrections): -6.34 eV/f.u.
* theoretical density: 5.37 g/cm3



CrFe2Tc | PBE | relaxed

Unit cell a=3.413 b=3.413 c=9.415 alpha=79.56 beta=79.56 gamma=90.00
Site moments in Bohr magnetons follow the coordinates.
Positions (direct):
Tc  0.000  0.000  0.000  -0.27
Tc  0.750  0.250  0.500  -0.28
Cr  0.250  0.750  0.500  0.80
Cr  0.500  0.500  0.000  0.80
Fe  0.875  0.865  0.750  2.22
Fe  0.375  0.385  0.750  2.21
Fe  0.615  0.125  0.250  2.21
Fe  0.135  0.625  0.250  2.22

* formation energy from the elements: 620 meV per atom
* theoretical density: 8.20 g/cm3



PrErCuIr | PBE | relaxed

Unit cell a=4.960 b=4.960 c=4.960 alpha=60.00 beta=60.00 gamma=60.00
Positions (direct):
Er  0.000  0.000  0.000
Ir  0.750  0.750  0.750
Cu  0.250  0.250  0.250
Pr  0.500  0.500  0.500

* formation energy from the elements: -479 meV per atom
* theoretical density: 10.85 g/cm3



MgBeTlCr2 | PBE | relaxed

Unit cell a=5.209 b=5.151 c=5.209 alpha=90.00 beta=90.00 gamma=90.00
Site moments in Bohr magnetons follow the coordinates.
Positions (direct):
Cr  0.500  0.000  0.000  3.78
Cr  0.000  0.000  0.500  4.00
Tl  0.000  0.000  0.000  -0.06
Mg  0.000  0.500  0.000  -0.02
Be  0.500  0.500  0.500  -0.01

* formation energy from the elements: 1600 meV per atom
* theoretical density: 4.06 g/cm3



In7Sn2Pb3 | PBE | relaxed

Unit cell a=6.304 b=6.304 c=10.964 alpha=73.29 beta=73.29 gamma=60.00
Positions (direct):
In  0.591  0.591  0.740
In  0.078  0.591  0.740
In  0.922  0.409  0.260
In  0.591  0.078  0.740
In  0.409  0.922  0.260
In  0.500  0.500  0.500
In  0.409  0.409  0.260
Sn  0.664  0.664  0.009
Sn  0.336  0.336  0.991
Pb  0.865  0.865  0.404
Pb  0.000  0.000  0.000
Pb  0.135  0.135  0.596

* formation energy from the elements: 104 meV per atom
* theoretical density: 7.76 g/cm3



MgTePb2 | PBE | relaxed

Unit cell a=8.644 b=8.644 c=8.644 alpha=27.81 beta=27.81 gamma=27.81
Positions (direct):
Pb  0.005  0.005  0.005
Pb  0.247  0.247  0.247
Mg  0.760  0.760  0.760
Te  0.489  0.489  0.489

* formation energy (no corrections): -0.79 eV/f.u.
* theoretical density: 7.57 g/cm3



NbSn3As | PBE | relaxed

Unit cell a=5.222 b=5.222 c=5.222 alpha=90.00 beta=90.00 gamma=90.00
Positions (direct):
Sn  0.000  0.500  0.000
Sn  0.500  0.000  0.000
Sn  0.000  0.000  0.500
As  0.000  0.000  0.000
Nb  0.500  0.500  0.500

* formation energy from the elements: 1142 meV per atom
* theoretical density: 6.11 g/cm3



KCd2Cu | PBE | relaxed

Unit cell a=5.227 b=5.227 c=5.227 alpha=60.00 beta=60.00 gamma=60.00
Positions (direct):
Cd  0.750  0.750  0.750
Cd  0.250  0.250  0.250
Cu  0.500  0.500  0.500
K  0.000  0.000  0.000

* formation energy from the elements: 274 meV per atom
* theoretical density: 5.38 g/cm3



Dy2ThScSe4 | PBE | relaxed

Unit cell a=4.030 b=7.014 c=7.141 alpha=71.00 beta=90.00 gamma=90.00
Positions (direct):
Se  0.500  0.246  0.765
Se  0.000  0.744  0.765
Se  0.000  0.256  0.235
Se  0.500  0.754  0.235
Th  0.000  0.500  0.500
Sc  0.500  0.500  0.000
Dy  0.000  0.000  0.000
Dy  0.500  0.000  0.500

* formation energy (no corrections): -12.98 eV/f.u.
* theoretical density: 7.99 g/cm3



SrZn2Cr | PBE | relaxed

Unit cell a=4.191 b=3.464 c=6.560 alpha=74.72 beta=90.00 gamma=90.00
Site moments in Bohr magnetons follow the coordinates.
Positions (direct):
Sr  0.500  0.798  0.778  0.00
Cr  0.000  0.494  0.386  3.66
Zn  0.000  0.161  0.054  -0.01
Zn  0.500  0.047  0.282  -0.03

* formation energy from the elements: 246 meV per atom
* theoretical density: 4.89 g/cm3



Ac3CdAg2Ge6 | PBE | relaxed

Unit cell a=6.325 b=6.325 c=8.927 alpha=90.00 beta=90.00 gamma=120.00
Positions (direct):
Ge  0.197  0.393  0.279
Ge  0.803  0.607  0.721
Ge  0.393  0.197  0.721
Ge  0.803  0.197  0.721
Ge  0.607  0.803  0.279
Ge  0.197  0.803  0.279
Ac  0.667  0.333  0.374
Ac  0.333  0.667  0.626
Ac  0.000  0.000  0.000
Ag  0.667  0.333  0.992
Ag  0.333  0.667  0.008
Cd  0.000  0.000  0.500

* formation energy from the elements: -302 meV per atom
* theoretical density: 7.76 g/cm3



Ca2ScTiO6 | PBE | relaxed

Unit cell a=5.496 b=5.666 c=7.843 alpha=90.00 beta=89.98 gamma=90.00
Site moments in Bohr magnetons follow the coordinates.
Positions (direct):
O  0.713  0.301  0.547  0.14
O  0.094  0.469  0.741  0.17
O  0.594  0.031  0.241  0.17
O  0.304  0.716  0.052  0.17
O  0.696  0.284  0.948  0.17
O  0.287  0.699  0.453  0.14
O  0.196  0.216  0.448  0.17
O  0.213  0.199  0.047  0.14
O  0.787  0.801  0.953  0.14
O  0.406  0.969  0.759  0.17
O  0.804  0.784  0.552  0.17
O  0.906  0.531  0.259  0.17
Ti  0.500  0.000  0.000  -0.05
Ti  0.000  0.500  0.500  -0.05
Ca  0.514  0.551  0.748  0.00
Ca  0.486  0.449  0.252  0.00
Ca  0.986  0.051  0.752  0.00
Ca  0.014  0.949  0.248  0.00
Sc  0.000  0.500  0.000  -0.02
Sc  0.500  0.000  0.500  -0.02

* formation energy (no corrections): -29.72 eV/f.u.
* theoretical density: 3.66 g/cm3



ZnCuSeS | PBE | relaxed

Unit cell a=3.853 b=3.853 c=6.743 alpha=89.98 beta=106.62 gamma=120.00
Positions (direct):
Cu  0.471  0.619  0.091
Zn  0.443  0.106  0.549
S  0.201  0.984  0.184
Se  0.214  0.491  0.705

* formation energy (no corrections): -1.60 eV/f.u.
* theoretical density: 4.87 g/cm3



Ti3AlH | PBE | relaxed

Unit cell a=5.191 b=7.588 c=7.434 alpha=90.00 beta=90.00 gamma=90.00
Site moments in Bohr magnetons follow the coordinates.
Positions (direct):
H  0.998  0.750  0.053  0.00
H  0.498  0.750  0.447  0.00
H  0.002  0.250  0.947  0.00
H  0.502  0.250  0.553  0.00
Ti  0.500  0.418  0.354  0.55
Ti  0.000  0.082  0.146  0.56
Ti  0.751  0.250  0.751  0.04
Ti  0.251  0.250  0.749  0.06
Ti  0.500  0.582  0.646  0.55
Ti  0.749  0.750  0.251  0.06
Ti  0.000  0.582  0.854  0.56
Ti  0.000  0.918  0.854  0.56
Ti  0.500  0.918  0.646  0.55
Ti  0.500  0.082  0.354  0.55
Ti  0.249  0.750  0.249  0.04
Ti  0.000  0.418  0.146  0.56
Al  0.500  0.500  0.000  -0.01
Al  0.000  0.500  0.500  -0.01
Al  0.000  0.000  0.500  -0.01
Al  0.500  0.000  0.000  -0.01

* electronic total energy: -6.174 eV/atom
* theoretical density: 3.89 g/cm3